[1]
# TlPtRh2 PBEsol relaxed
# Calculated formation energy   0.9 eV/f.u.
# N(E_F)   3.7 states/eV/f.u.
# Theoretical density   15.77 g/cm3
# Energy relative to the lowest polymorph listed for this composition   114 meV per atom
data_TlPtRh2
_chemical_formula_sum 'Tl1 Pt1 Rh2'
_symmetry_space_group_name_H-M 'P 1 2/m 1'
_symmetry_Int_Tables_number 10
_symmetry_space_group_name_Hall '-P 2y'
_cell_length_a 2.822
_cell_length_b 4.669
_cell_length_c 4.839
_cell_angle_alpha 90.00
_cell_angle_beta 90.67
_cell_angle_gamma 90.00
loop_
_atom_site_label
_atom_site_fract_x
_atom_site_fract_y
_atom_site_fract_z
Tl1 0.000 0.000 0.000
Pt1 0.500 0.000 0.500
Rh1 0.259 0.500 0.736


[2]
# Tl2PtRh PBEsol relaxed
# Calculated formation energy   0.6 eV/f.u.
# N(E_F)   1.8 states/eV/f.u.
# Theoretical density   15.67 g/cm3
# Energy relative to the lowest polymorph listed for this composition   44 meV per atom
data_Tl2PtRh
_chemical_formula_sum 'Tl4 Pt2 Rh2'
_symmetry_space_group_name_H-M 'I m m 2'
_symmetry_Int_Tables_number 44
_symmetry_space_group_name_Hall 'I 2 -2'
_cell_length_a 3.681
_cell_length_b 3.954
_cell_length_c 10.293
_cell_angle_alpha 90.00
_cell_angle_beta 90.00
_cell_angle_gamma 90.00
loop_
_atom_site_label
_atom_site_fract_x
_atom_site_fract_y
_atom_site_fract_z
Tl1 0.000 0.000 0.000
Tl2 0.000 0.500 0.241
Pt1 0.000 0.500 0.800
Rh1 0.000 0.000 0.539


[3]
# Tl2PtRh PBEsol relaxed
# Calculated formation energy   0.4 eV/f.u.
# N(E_F)   1.8 states/eV/f.u.
# Theoretical density   15.88 g/cm3
# Energy relative to the lowest polymorph listed for this composition   0 meV per atom
data_Tl2PtRh
_chemical_formula_sum 'Tl2 Pt1 Rh1'
_symmetry_space_group_name_H-M 'P 1 m 1'
_symmetry_Int_Tables_number 6
_symmetry_space_group_name_Hall 'P -2y'
_cell_length_a 3.155
_cell_length_b 4.466
_cell_length_c 5.478
_cell_angle_alpha 90.00
_cell_angle_beta 106.81
_cell_angle_gamma 90.00
loop_
_atom_site_label
_atom_site_fract_x
_atom_site_fract_y
_atom_site_fract_z
Tl1 0.000 0.000 0.000
Tl2 0.287 0.500 0.578
Pt1 0.559 0.500 0.116
Rh1 0.731 0.000 0.468